Record 1
Entry from Alexandria: a relaxed structure of CaZrVNi2 (PBE).

The structure belongs to space group P4/mmm (No. 123); the cell edges are 4.457, 4.457 and 4.642 Å and the angles 90.00°, 90.00° and 90.00°. The asymmetric unit holds Ca at (0.000, 0.000, 0.000), Zr at (0.500, 0.500, 0.000), V at (0.000, 0.000, 0.500) and Ni at (0.000, 0.500, 0.500).

The density of states at the Fermi level is 5.41 states/eV/cell. Its formation energy is 865 meV/atom. The total energy is -5.3814 eV per atom.



Record 2
Entry from Alexandria: a relaxed structure of Ca2ZrVNi (PBE).

The structure belongs to space group P4/mmm (No. 123); the cell edges are 5.756, 5.756 and 4.500 Å and the angles 90.00°, 90.00° and 90.00°. The asymmetric unit holds Ca at (0.000, 0.500, 0.000), Zr at (0.000, 0.000, 0.000), V at (0.000, 0.000, 0.500) and Ni at (0.500, 0.500, 0.500).

The density of states at the Fermi level is 6.68 states/eV/cell. Its formation energy is 1402 meV/atom. The total energy is -4.0879 eV per atom.



Record 3
Entry from Alexandria: a relaxed structure of CaNiW (PBE).

The structure belongs to space group Imma (No. 74); the cell edges are 5.062, 5.701 and 7.610 Å and the angles 90.00°, 90.00° and 90.00°. The asymmetric unit holds Ca at (0.000, 0.250, 0.127), Ni at (0.000, 0.000, 0.500) and W at (0.250, 0.250, 0.750).

The density of states at the Fermi level is 10.80 states/eV/cell. Its formation energy is 297 meV/atom. The total energy is -6.6148 eV per atom. The value obtained for the excess energy over the best structure of this formula in the dataset is 0.29 eV/f.u.



Record 4
Entry from Alexandria: a relaxed structure of CaNiW (PBE).

The structure belongs to space group I4mm (No. 107); the cell edges are 3.027, 3.027 and 12.040 Å and the angles 90.00°, 90.00° and 90.00°. The asymmetric unit holds Ca at (0.000, 0.000, 0.000), Ni at (0.000, 0.000, 0.688) and W at (0.000, 0.000, 0.295).

The density of states at the Fermi level is 4.29 states/eV/cell. Its formation energy is 419 meV/atom. The total energy is -6.4933 eV per atom. The value obtained for the excess energy over the best structure of this formula in the dataset is 0.66 eV/f.u.



Record 5
Entry from Alexandria: a relaxed structure of CaNi3W (PBE).

The structure belongs to space group Pm-3m (No. 221); the cell edges are 4.607, 4.607 and 4.607 Å and the angles 90.00°, 90.00° and 90.00°. The asymmetric unit holds Ca at (0.000, 0.000, 0.000), Ni at (0.000, 0.500, 0.500) and W at (0.500, 0.500, 0.500).

The density of states at the Fermi level is 5.75 states/eV/cell. Its formation energy is 697 meV/atom. The total energy is -5.7626 eV per atom. The value obtained for the excess energy over the best structure of this formula in the dataset is 0.00 eV/f.u.



Record 6
Entry from Alexandria: a relaxed structure of CaNiW (PBE).

The structure belongs to space group Cm (No. 8); the cell edges are 7.242, 4.182 and 9.464 Å and the angles 90.00°, 104.83° and 90.00°. The asymmetric unit holds Ca at (0.000, 0.000, 0.000), Ca at (0.219, 0.000, 0.654), Ni at (0.117, 0.000, 0.351), Ni at (0.327, 0.500, 0.481), W at (0.239, 0.500, 0.218) and W at (0.452, 0.000, 0.356).

The density of states at the Fermi level is 4.25 states/eV/cell. Its formation energy is 354 meV/atom. The total energy is -6.5576 eV per atom. The value obtained for the excess energy over the best structure of this formula in the dataset is 0.46 eV/f.u.



Record 7
Entry from Alexandria: a relaxed structure of CaNiW (PBE).

The structure belongs to space group Cm (No. 8); the cell edges are 20.197, 3.733 and 3.529 Å and the angles 90.00°, 90.09° and 90.00°. The asymmetric unit holds Ca at (0.000, 0.000, 0.000), Ca at (0.156, 0.500, 0.500), Ni at (0.286, 0.500, 0.498), Ni at (0.369, 0.500, 0.999), W at (0.279, 0.000, 0.998) and W at (0.377, 0.000, 0.499).

The density of states at the Fermi level is 12.98 states/eV/cell. Its formation energy is 337 meV/atom. The total energy is -6.5747 eV per atom. The value obtained for the excess energy over the best structure of this formula in the dataset is 0.41 eV/f.u.



Record 8
Entry from Alexandria: a relaxed structure of CaNiW (PBE).

The structure belongs to space group Pnma (No. 62); the cell edges are 4.951, 4.305 and 10.620 Å and the angles 90.00°, 90.00° and 90.00°. The asymmetric unit holds Ca at (0.070, 0.250, 0.125), Ni at (0.063, 0.250, 0.449) and W at (0.065, 0.750, 0.322).

The density of states at the Fermi level is 9.87 states/eV/cell. Its formation energy is 419 meV/atom. The total energy is -6.4927 eV per atom. The value obtained for the excess energy over the best structure of this formula in the dataset is 0.66 eV/f.u.



Record 9
Entry from Alexandria: a relaxed structure of CaNiW (PBE).

The structure belongs to space group P6_3/mmc (No. 194); the cell edges are 5.2568, 5.2568 and 8.9891 Å and the angles 90.00°, 90.00° and 120.00°. The asymmetric unit holds Ca at (0.3333, 0.6667, 0.2500), Ni at (0.0000, 0.0000, 0.0000) and W at (0.0000, 0.0000, 0.2500).

The density of states at the Fermi level is 6.62 states/eV/cell. Its formation energy is 2093 meV/atom. The total energy is -4.8190 eV per atom. The value obtained for the excess energy over the best structure of this formula in the dataset is 5.68 eV/f.u.



Record 10
Entry from Alexandria: a relaxed structure of CaNiW (PBE).

The structure belongs to space group P3m1 (No. 156); the cell edges are 4.6679, 4.6679 and 2.8094 Å and the angles 90.00°, 90.00° and 120.00°. The asymmetric unit holds Ca at (0.0000, 0.0000, 0.0000), Ni at (0.3333, 0.6667, 0.4957) and W at (0.6667, 0.3333, 0.5035).

The density of states at the Fermi level is 3.21 states/eV/cell. Its formation energy is 817 meV/atom. The total energy is -6.0954 eV per atom. The value obtained for the excess energy over the best structure of this formula in the dataset is 1.85 eV/f.u.



Record 11
Entry from Alexandria: a relaxed structure of CaNi2W4 (PBE).

The structure belongs to space group I4/mmm (No. 139); the cell edges are 4.533, 4.533 and 12.480 Å and the angles 90.00°, 90.00° and 90.00°. The asymmetric unit holds Ca at (0.000, 0.000, 0.000), Ni at (0.000, 0.000, 0.400), W at (0.000, 0.000, 0.220) and W at (0.000, 0.500, 0.000).

The density of states at the Fermi level is 18.47 states/eV/cell. Its formation energy is 2524 meV/atom. The total energy is -6.8159 eV per atom.



Record 12
Entry from Alexandria: a relaxed structure of CaNiW (PBE).

The structure belongs to space group Pnma (No. 62); the cell edges are 7.789, 3.439 and 8.613 Å and the angles 90.00°, 90.00° and 90.00°. The asymmetric unit holds Ca at (0.045, 0.250, 0.171), Ni at (0.241, 0.750, 0.362) and W at (0.112, 0.250, 0.539).

The density of states at the Fermi level is 9.88 states/eV/cell. Its formation energy is 297 meV/atom. The total energy is -6.6149 eV per atom. The value obtained for the excess energy over the best structure of this formula in the dataset is 0.29 eV/f.u.



Record 13
Entry from Alexandria: a relaxed structure of CaNiW (PBE).

The structure belongs to space group Cm (No. 8); the cell edges are 7.063, 4.079 and 9.805 Å and the angles 90.00°, 90.03° and 90.00°. The asymmetric unit holds Ca at (0.000, 0.000, 0.000), Ca at (0.167, 0.500, 0.640), Ni at (0.167, 0.500, 0.199), Ni at (0.334, 0.000, 0.480), W at (0.000, 0.000, 0.374) and W at (0.334, 0.000, 0.234).

The density of states at the Fermi level is 15.00 states/eV/cell. Its formation energy is 341 meV/atom. The total energy is -6.5714 eV per atom. The value obtained for the excess energy over the best structure of this formula in the dataset is 0.42 eV/f.u.